No. 1
# HPb, optimized geometry, DFT PBE-GGA
data_HPb
_chemical_formula_sum 'H6 Pb6'
_symmetry_space_group_name_H-M 'P m -3 n'
_symmetry_Int_Tables_number 223
_symmetry_space_group_name_Hall '-P 4n 2 3'
_cell_length_a 6.589
_cell_length_b 6.589
_cell_length_c 6.589
_cell_angle_alpha 90.00
_cell_angle_beta 90.00
_cell_angle_gamma 90.00
loop_
_atom_site_label
_atom_site_type_symbol
_atom_site_fract_x
_atom_site_fract_y
_atom_site_fract_z
H1 H 0.000 0.250 0.500
Pb1 Pb 0.000 0.500 0.250
# **Uncorrected energy**: -2.94 eV per atom
# **M_tot**: 0.00 μB/cell

=====

No. 2
# BaCoOs3, optimized geometry, DFT PBE-GGA
data_BaCoOs3
_chemical_formula_sum 'Ba1 Co1 Os3'
_symmetry_space_group_name_H-M 'P m -3 m'
_symmetry_Int_Tables_number 221
_symmetry_space_group_name_Hall '-P 4 2 3'
_cell_length_a 4.948
_cell_length_b 4.948
_cell_length_c 4.948
_cell_angle_alpha 90.00
_cell_angle_beta 90.00
_cell_angle_gamma 90.00
loop_
_atom_site_label
_atom_site_type_symbol
_atom_site_fract_x
_atom_site_fract_y
_atom_site_fract_z
Ba1 Ba 0.000 0.000 0.000
Co1 Co 0.500 0.500 0.500
Os1 Os 0.000 0.000 0.500
# **ΔH_f (0 K)**: 409 kJ/mol of atoms
# **M_tot**: 0.08 μB/cell

=====

No. 3
# HoErZn4, optimized geometry, DFT PBE-GGA
data_HoErZn4
_chemical_formula_sum 'Ho1 Er1 Zn4'
_symmetry_space_group_name_H-M 'P 1 2/m 1'
_symmetry_Int_Tables_number 10
_symmetry_space_group_name_Hall '-P 2y'
_cell_length_a 3.807
_cell_length_b 3.720
_cell_length_c 9.639
_cell_angle_alpha 90.00
_cell_angle_beta 90.12
_cell_angle_gamma 90.00
loop_
_atom_site_label
_atom_site_type_symbol
_atom_site_fract_x
_atom_site_fract_y
_atom_site_fract_z
Ho1 Ho 0.000 0.000 0.000
Er1 Er 0.500 0.500 0.500
Zn1 Zn 0.000 0.500 0.252
Zn2 Zn 0.500 0.000 0.249
# **ΔH_f (0 K)**: 2 kJ/mol of atoms
# **M_tot**: 0.00 μB/cell

=====

No. 4
# KHoTl2Br6, optimized geometry, DFT PBE-GGA
data_KHoTl2Br6
_chemical_formula_sum 'K3 Ho3 Tl6 Br18'
_symmetry_space_group_name_H-M 'R 3'
_symmetry_Int_Tables_number 146
_symmetry_space_group_name_Hall 'R 3'
_cell_length_a 8.1267
_cell_length_b 8.1267
_cell_length_c 20.8056
_cell_angle_alpha 90.00
_cell_angle_beta 90.00
_cell_angle_gamma 120.00
loop_
_atom_site_label
_atom_site_type_symbol
_atom_site_fract_x
_atom_site_fract_y
_atom_site_fract_z
K1 K 0.0000 0.0000 0.0000
Ho1 Ho 0.0000 0.0000 0.5074
Tl1 Tl 0.0000 0.0000 0.2055
Tl2 Tl 0.0000 0.0000 0.7137
Br1 Br 0.0264 0.7410 0.5912
Br2 Br 0.0740 0.3556 0.1011
# **Energy relative to the elements, uncorrected**: -141 kJ per mole of atoms
# **M_tot**: 0.00 μB/cell

=====

No. 5
# V2CrNi2, optimized geometry, DFT PBE-GGA
data_V2CrNi2
_chemical_formula_sum 'V4 Cr2 Ni4'
_symmetry_space_group_name_H-M 'P 4/m b m'
_symmetry_Int_Tables_number 127
_symmetry_space_group_name_Hall '-P 4 2ab'
_cell_length_a 6.948
_cell_length_b 6.948
_cell_length_c 2.579
_cell_angle_alpha 90.00
_cell_angle_beta 90.00
_cell_angle_gamma 90.00
loop_
_atom_site_label
_atom_site_type_symbol
_atom_site_fract_x
_atom_site_fract_y
_atom_site_fract_z
V1 V 0.168 0.332 0.000
Cr1 Cr 0.000 0.000 0.000
Ni1 Ni 0.128 0.628 0.500
# **ΔH_f (0 K)**: 17 kJ/mol of atoms
# **M_tot**: 0.00 μB/cell

=====

No. 6
# Tl3NiI, optimized geometry, DFT PBE-GGA
data_Tl3NiI
_chemical_formula_sum 'Tl3 Ni1 I1'
_symmetry_space_group_name_H-M 'P m -3 m'
_symmetry_Int_Tables_number 221
_symmetry_space_group_name_Hall '-P 4 2 3'
_cell_length_a 6.432
_cell_length_b 6.432
_cell_length_c 6.432
_cell_angle_alpha 90.00
_cell_angle_beta 90.00
_cell_angle_gamma 90.00
loop_
_atom_site_label
_atom_site_type_symbol
_atom_site_fract_x
_atom_site_fract_y
_atom_site_fract_z
Tl1 Tl 0.000 0.000 0.500
Ni1 Ni 0.500 0.500 0.500
I1 I 0.000 0.000 0.000
# **Energy relative to the elements, uncorrected**: 81 kJ per mole of atoms
# **M_tot**: 0.71 μB/cell

=====

No. 7
# LiTaW2, optimized geometry, DFT PBE-GGA
data_LiTaW2
_chemical_formula_sum 'Li1 Ta1 W2'
_symmetry_space_group_name_H-M 'P 1 2/m 1'
_symmetry_Int_Tables_number 10
_symmetry_space_group_name_Hall '-P 2y'
_cell_length_a 2.700
_cell_length_b 4.612
_cell_length_c 5.220
_cell_angle_alpha 90.00
_cell_angle_beta 97.79
_cell_angle_gamma 90.00
loop_
_atom_site_label
_atom_site_type_symbol
_atom_site_fract_x
_atom_site_fract_y
_atom_site_fract_z
Li1 Li 0.000 0.000 0.000
Ta1 Ta 0.500 0.000 0.500
W1 W 0.223 0.500 0.749
# **ΔH_f (0 K)**: 31 kJ/mol of atoms
# **M_tot**: 0.00 μB/cell

=====

No. 8
# Tb3Dy6Tm2Tl, optimized geometry, DFT PBE-GGA
data_Tb3Dy6Tm2Tl
_chemical_formula_sum 'Tb6 Dy12 Tm4 Tl2'
_symmetry_space_group_name_H-M 'C 1 2/m 1'
_symmetry_Int_Tables_number 12
_symmetry_space_group_name_Hall '-C 2y'
_cell_length_a 6.094
_cell_length_b 10.567
_cell_length_c 11.578
_cell_angle_alpha 90.00
_cell_angle_beta 100.22
_cell_angle_gamma 90.00
loop_
_atom_site_label
_atom_site_type_symbol
_atom_site_fract_x
_atom_site_fract_y
_atom_site_fract_z
Tb1 Tb 0.000 0.000 0.000
Tb2 Tb 0.000 0.333 0.000
Dy1 Dy 0.246 0.335 0.746
Dy2 Dy 0.249 0.500 0.253
Tm1 Tm 0.000 0.166 0.500
Tl1 Tl 0.000 0.500 0.500
# **ΔH_f (0 K)**: -1 kJ/mol of atoms
# **M_tot**: 0.00 μB/cell

=====

No. 9
# CaZn3P2, optimized geometry, DFT PBE-GGA
data_CaZn3P2
_chemical_formula_sum 'Ca3 Zn9 P6'
_symmetry_space_group_name_H-M 'P 6/m m m'
_symmetry_Int_Tables_number 191
_symmetry_space_group_name_Hall '-P 6 2'
_cell_length_a 9.8186
_cell_length_b 9.8186
_cell_length_c 3.8325
_cell_angle_alpha 90.00
_cell_angle_beta 90.00
_cell_angle_gamma 120.00
loop_
_atom_site_label
_atom_site_type_symbol
_atom_site_fract_x
_atom_site_fract_y
_atom_site_fract_z
Ca1 Ca 0.0000 0.0000 0.0000
Ca2 Ca 0.3333 0.6667 0.5000
Zn1 Zn 0.0000 0.2755 0.5000
Zn2 Zn 0.0000 0.5000 0.0000
P1 P 0.2007 0.4015 0.0000
# **ΔH_f (0 K)**: -26 kJ/mol of atoms
# **M_tot**: 0.00 μB/cell

=====

No. 10
# Ho3Er2In2, optimized geometry, DFT PBE-GGA
data_Ho3Er2In2
_chemical_formula_sum 'Ho9 Er6 In6'
_symmetry_space_group_name_H-M 'R -3 m'
_symmetry_Int_Tables_number 166
_symmetry_space_group_name_Hall '-R 3 2"'
_cell_length_a 5.3453
_cell_length_b 5.3453
_cell_length_c 23.8309
_cell_angle_alpha 90.00
_cell_angle_beta 90.00
_cell_angle_gamma 120.00
loop_
_atom_site_label
_atom_site_type_symbol
_atom_site_fract_x
_atom_site_fract_y
_atom_site_fract_z
Ho1 Ho 0.0000 0.0000 0.0000
Ho2 Ho 0.0000 0.0000 0.1531
Er1 Er 0.0000 0.0000 0.4248
In1 In 0.0000 0.0000 0.2835
# **ΔH_f (0 K)**: -26 kJ/mol of atoms
# **M_tot**: 0.00 μB/cell

=====

No. 11
# TiIn2Ni9, optimized geometry, DFT PBE-GGA
data_TiIn2Ni9
_chemical_formula_sum 'Ti1 In2 Ni9'
_symmetry_space_group_name_H-M 'P 4/m m m'
_symmetry_Int_Tables_number 123
_symmetry_space_group_name_Hall '-P 4 2'
_cell_length_a 3.697
_cell_length_b 3.697
_cell_length_c 11.096
_cell_angle_alpha 90.00
_cell_angle_beta 90.00
_cell_angle_gamma 90.00
loop_
_atom_site_label
_atom_site_type_symbol
_atom_site_fract_x
_atom_site_fract_y
_atom_site_fract_z
Ti1 Ti 0.000 0.000 0.000
In1 In 0.000 0.000 0.329
Ni1 Ni 0.000 0.500 0.156
Ni2 Ni 0.000 0.500 0.500
Ni3 Ni 0.500 0.500 0.000
Ni4 Ni 0.500 0.500 0.328
# **ΔH_f (0 K)**: -19 kJ/mol of atoms
# **M_tot**: 1.21 μB/cell